No. 1
Here is Ni2PdPt2 after structural relaxation from Alexandria via LeMat-Bulk. Energies are from PBE.

DOS at the Fermi energy   11.941 states/eV/cell
Formation enthalpy at 0 K   0.077 eV per atom
Energy above the most stable polymorph in this dataset   0.118 eV/atom
E_tot   -5.691 eV/atom
Magnetic moment   0.38 μB/atom

Cell lengths 7.3079, 7.3079, 2.7168 Å; angles 90.00, 90.00, 90.00 degrees
Space group P4/mbm (No. 127)
One atom of each set of equivalent atoms:
Ni (0.1638, 0.3362, 0.0000) (multiplicity 4)
Pd (0.0000, 0.0000, 0.5000) (multiplicity 2)
Pt (0.1342, 0.6342, 0.5000) (multiplicity 4)

No. 2
Here is NdInAs2 after structural relaxation from Alexandria via LeMat-Bulk. Energies are from PBE.

DOS at the Fermi energy   0.828 states/eV/cell
Formation enthalpy at 0 K   -0.628 eV per atom
E_tot   -4.829 eV/atom
Magnetic moment   0.00 μB/atom

Cell lengths 4.2362, 4.2362, 19.8939 Å; angles 90.00, 90.00, 120.00 degrees
Space group R-3m (No. 166, hexagonal axes)
One atom of each set of equivalent atoms:
Nd (0.0000, 0.0000, 0.0000) (multiplicity 3)
In (0.0000, 0.0000, 0.5000) (multiplicity 3)
As (0.0000, 0.0000, 0.2449) (multiplicity 6)

No. 3
Here is ReTeCl2 after structural relaxation from Alexandria via LeMat-Bulk. Energies are from PBE.

DOS at the Fermi energy   5.484 states/eV/cell
Formation energy (no corrections)   0.329 eV per atom
Energy above the most stable polymorph in this dataset   0.408 eV/atom
E_tot   -4.491 eV/atom
Magnetic moment   0.00 μB/atom

Cell lengths 3.1650, 4.8092, 12.6281 Å; angles 90.00, 90.00, 90.00 degrees
Space group Imm2 (No. 44)
One atom of each set of equivalent atoms:
Re (0.0000, 0.0000, 0.0000) (multiplicity 2)
Te (0.0000, 0.5000, 0.6617) (multiplicity 2)
Cl (0.0000, 0.0000, 0.4934) (multiplicity 2)
Cl (0.0000, 0.5000, 0.3374) (multiplicity 2)

No. 4
Here is Ge2PdBr2 after structural relaxation from Alexandria via LeMat-Bulk. Energies are from PBE.

DOS at the Fermi energy   1.291 states/eV/cell
Formation energy (no corrections)   0.487 eV per atom
Energy above the most stable polymorph in this dataset   0.562 eV/atom
E_tot   -3.068 eV/atom
Magnetic moment   0.00 μB/atom

Cell lengths 4.5440, 4.5440, 12.1062 Å; angles 90.00, 90.00, 90.00 degrees
Space group I4/mmm (No. 139)
One atom of each set of equivalent atoms:
Ge (0.0000, 0.0000, 0.1103) (multiplicity 4)
Pd (0.0000, 0.0000, 0.5000) (multiplicity 2)
Br (0.0000, 0.5000, 0.2500) (multiplicity 4)

No. 5
Here is TmMgSc2 after structural relaxation from Alexandria via LeMat-Bulk. Energies are from PBE.

DOS at the Fermi energy   13.169 states/eV/cell
Formation enthalpy at 0 K   0.045 eV per atom
Energy above the most stable polymorph in this dataset   0.041 eV/atom
E_tot   -4.637 eV/atom
Magnetic moment   0.00 μB/atom

Cell lengths 3.2656, 7.8248, 8.1897 Å; angles 84.98, 89.97, 77.99 degrees
Space group P-1 (No. 2)
One atom of each set of equivalent atoms:
Tm (0.2353, 0.0314, 0.3148) (multiplicity 2)
Mg (0.4640, 0.5710, 0.7918) (multiplicity 2)
Sc (0.0875, 0.3228, 0.5648) (multiplicity 2)
Sc (0.1493, 0.2010, 0.9427) (multiplicity 2)

No. 6
Here is Tb6TlHg5 after structural relaxation from Alexandria via LeMat-Bulk. Energies are from PBE.

DOS at the Fermi energy   24.069 states/eV/cell
Formation enthalpy at 0 K   -0.332 eV per atom
Energy above the most stable polymorph in this dataset   0.127 eV/atom
E_tot   -2.970 eV/atom
Magnetic moment   0.00 μB/atom

Cell lengths 6.5106, 11.2796, 9.5817 Å; angles 90.00, 103.14, 90.00 degrees
Space group C2/m (No. 12)
One atom of each set of equivalent atoms:
Tb (0.2399, 0.0000, 0.2453) (multiplicity 4)
Tb (0.2451, 0.1693, 0.7449) (multiplicity 8)
Tl (0.0000, 0.5000, 0.0000) (multiplicity 2)
Hg (0.0000, 0.0000, 0.5000) (multiplicity 2)
Hg (0.0000, 0.1738, 0.0000) (multiplicity 4)
Hg (0.0000, 0.3420, 0.5000) (multiplicity 4)

No. 7
Here is CsKRb3 after structural relaxation from Alexandria via LeMat-Bulk. Energies are from PBE.

DOS at the Fermi energy   18.235 states/eV/cell
Formation enthalpy at 0 K   0.008 eV per atom
Energy above the most stable polymorph in this dataset   0.000 eV/atom
E_tot   -0.963 eV/atom
Magnetic moment   0.00 μB/atom

Cell lengths 8.9813, 16.4701, 13.5815 Å; angles 90.00, 114.60, 90.00 degrees
Space group P2_1/c (No. 14)
One atom of each set of equivalent atoms:
Cs (0.1662, 0.1244, 0.1192) (multiplicity 4)
K (0.2347, 0.6219, 0.1856) (multiplicity 4)
Rb (0.0603, 0.6289, 0.7949) (multiplicity 4)
Rb (0.3496, 0.1155, 0.5225) (multiplicity 4)
Rb (0.4534, 0.6342, 0.5842) (multiplicity 4)

No. 8
Here is KNa5TlHg2 after structural relaxation from Alexandria via LeMat-Bulk. Energies are from PBE.

DOS at the Fermi energy   4.389 states/eV/cell
Formation enthalpy at 0 K   -0.033 eV per atom
E_tot   -1.218 eV/atom
Magnetic moment   0.00 μB/atom

Cell lengths 5.6067, 5.6067, 11.9592 Å; angles 90.00, 90.00, 90.00 degrees
Space group P4/mmm (No. 123)
One atom of each set of equivalent atoms:
K (0.0000, 0.0000, 0.0000) (multiplicity 1)
Na (0.0000, 0.5000, 0.3500) (multiplicity 4)
Na (0.5000, 0.5000, 0.0000) (multiplicity 1)
Tl (0.5000, 0.5000, 0.5000) (multiplicity 1)
Hg (0.5000, 0.5000, 0.2419) (multiplicity 2)